Here is a geometry-optimized KTl2TeS4 structure from the Alexandria database. Energies are from PBE. Values from VASP.

```
&SYSTEM
  ibrav = 0, nat = 16, ntyp = 4
/
ATOMIC_SPECIES
S 32.06 S.upf
Te 127.60 Te.upf
K 39.10 K.upf
Tl 204.38 Tl.upf
CELL_PARAMETERS angstrom
-3.027 7.718 1.771
-5.718 -0.947 -6.186
0.647 -5.849 6.151
ATOMIC_POSITIONS crystal
S 0.760 0.207 0.983
Te 0.500 0.500 0.500
S 0.748 0.751 0.964
K 0.000 0.500 0.000
S 0.252 0.249 0.036
Tl 0.000 0.000 0.500
K 0.000 0.500 0.500
S 0.241 0.793 0.017
S 0.749 0.752 0.536
Tl 0.500 0.000 0.500
Tl 0.500 0.000 0.000
S 0.293 0.741 0.517
Te 0.000 0.000 0.000
S 0.251 0.248 0.464
Tl 0.500 0.500 0.000
S 0.707 0.259 0.483
```

Values from the calculation:
As for the symmetry: No. 74. The calculation puts the spin magnetization at 0.00 μB/f.u. Its raw total energy is -3.4812 eV per atom. For the raw formation energy, the calculation gives -2.4 eV per formula unit. The density of states at the Fermi level is 4.4 states/eV/f.u.